No. 1
TbHo3C: optimized geometry, PBE.

Properties
VASP energy (eV/atom): -5.535

abc: 5.020 5.020 5.020
angles: 90.00 90.00 90.00
Space group Pm-3m (No. 221)
One atom of each set of equivalent atoms:
Tb 0.000 0.000 0.000
Ho 0.000 0.500 0.500
C 0.500 0.500 0.500

=====

No. 2
TbHoC2: optimized geometry, PBE.

Properties
VASP energy (eV/atom): -6.924

abc: 3.891 5.593 6.717
angles: 90.00 90.00 90.00
Space group Amm2 (No. 38)
One atom of each set of equivalent atoms:
Tb 0.000 0.000 0.000
Ho 0.500 0.000 0.437
C 0.500 0.124 0.784

=====

No. 3
TbHo3Te2C2: optimized geometry, PBE.

Properties
VASP energy (eV/atom): -6.261

abc: 3.8228 3.8228 13.9884
angles: 90.00 90.00 120.00
Space group P3m1 (No. 156)
One atom of each set of equivalent atoms:
Tb 0.0000 0.0000 0.0000
Ho 0.0000 0.0000 0.6858
Ho 0.6667 0.3333 0.1874
Ho 0.6667 0.3333 0.5003
Te 0.0000 0.0000 0.3437
Te 0.6667 0.3333 0.8414
C 0.3333 0.6667 0.0948
C 0.3333 0.6667 0.5930

=====

No. 4
Tb3HoTe2C2: optimized geometry, PBE.

Properties
VASP energy (eV/atom): -6.264

abc: 3.8442 3.8442 14.0814
angles: 90.00 90.00 120.00
Space group P3m1 (No. 156)
One atom of each set of equivalent atoms:
Tb 0.0000 0.0000 0.0000
Tb 0.0000 0.0000 0.3135
Tb 0.6667 0.3333 0.8119
Ho 0.6667 0.3333 0.4997
Te 0.0000 0.0000 0.6544
Te 0.6667 0.3333 0.1566
C 0.3333 0.6667 0.4075
C 0.3333 0.6667 0.9060

=====

No. 5
HoTmTeC: optimized geometry, PBE.

Properties
VASP energy (eV/atom): -6.240

abc: 3.7929 3.7929 13.8857
angles: 90.00 90.00 120.00
Space group P6_3mc (No. 186)
One atom of each set of equivalent atoms:
Ho 0.3333 0.6667 0.0000
Tm 0.3333 0.6667 0.3145
Te 0.3333 0.6667 0.6586
C 0.0000 0.0000 0.4064

=====

No. 6
HoTmTeC: optimized geometry, PBE.

Properties
VASP energy (eV/atom): -6.240

abc: 3.7938 3.7938 13.8847
angles: 90.00 90.00 120.00
Space group P-3m1 (No. 164)
One atom of each set of equivalent atoms:
Ho 0.3333 0.6667 0.4063
Tm 0.3333 0.6667 0.0917
Te 0.3333 0.6667 0.7523
C 0.0000 0.0000 0.0000
C 0.0000 0.0000 0.5000

=====

No. 7
HoTm3Te2C2: optimized geometry, PBE.

Properties
VASP energy (eV/atom): -6.229

abc: 3.7834 3.7834 13.8425
angles: 90.00 90.00 120.00
Space group P3m1 (No. 156)
One atom of each set of equivalent atoms:
Ho 0.0000 0.0000 0.0000
Tm 0.0000 0.0000 0.3151
Tm 0.3333 0.6667 0.4993
Tm 0.3333 0.6667 0.8139
Te 0.0000 0.0000 0.6570
Te 0.3333 0.6667 0.1587
C 0.6667 0.3333 0.4072
C 0.6667 0.3333 0.9058

=====

No. 8
HoTmTeC: optimized geometry, PBE.

Properties
VASP energy (eV/atom): -6.240

abc: 3.7937 3.7937 13.8884
angles: 90.00 90.00 120.00
Space group P-6m2 (No. 187)
One atom of each set of equivalent atoms:
Ho 0.0000 0.0000 0.1586
Tm 0.3333 0.6667 0.3439
Te 0.0000 0.0000 0.5000
Te 0.3333 0.6667 0.0000
C 0.6667 0.3333 0.2523

=====

No. 9
HoTm3Te2C2: optimized geometry, PBE.

Properties
VASP energy (eV/atom): -6.229

abc: 3.7832 3.7832 13.8642
angles: 90.00 90.00 120.00
Space group P3m1 (No. 156)
One atom of each set of equivalent atoms:
Ho 0.0000 0.0000 0.0000
Tm 0.0000 0.0000 0.6843
Tm 0.6667 0.3333 0.1859
Tm 0.6667 0.3333 0.5002
Te 0.0000 0.0000 0.3431
Te 0.6667 0.3333 0.8407
C 0.3333 0.6667 0.0940
C 0.3333 0.6667 0.5923

=====

No. 10
Y3HoTe2C2: optimized geometry, PBE.

Properties
VASP energy (eV/atom): -6.971

abc: 3.8338 3.8338 14.0147
angles: 90.00 90.00 120.00
Space group P3m1 (No. 156)
One atom of each set of equivalent atoms:
Y 0.0000 0.0000 0.0000
Y 0.0000 0.0000 0.3130
Y 0.6667 0.3333 0.8126
Ho 0.6667 0.3333 0.4994
Te 0.0000 0.0000 0.6556
Te 0.6667 0.3333 0.1564
C 0.3333 0.6667 0.4074
C 0.3333 0.6667 0.9064

=====

No. 11
Y3HoTe2C2: optimized geometry, PBE.

Properties
VASP energy (eV/atom): -6.971

abc: 3.8338 3.8338 14.0214
angles: 90.00 90.00 120.00
Space group P3m1 (No. 156)
One atom of each set of equivalent atoms:
Y 0.0000 0.0000 0.0000
Y 0.0000 0.0000 0.3133
Y 0.3333 0.6667 0.5001
Ho 0.3333 0.6667 0.8135
Te 0.0000 0.0000 0.6569
Te 0.3333 0.6667 0.1567
C 0.6667 0.3333 0.4067
C 0.6667 0.3333 0.9064

=====

No. 12
YHo3Te2C2: optimized geometry, PBE.

Properties
VASP energy (eV/atom): -6.497

abc: 3.8191 3.8191 13.9760
angles: 90.00 90.00 120.00
Space group P3m1 (No. 156)
One atom of each set of equivalent atoms:
Y 0.0000 0.0000 0.0000
Ho 0.0000 0.0000 0.6866
Ho 0.6667 0.3333 0.1871
Ho 0.6667 0.3333 0.5006
Te 0.0000 0.0000 0.3438
Te 0.6667 0.3333 0.8429
C 0.3333 0.6667 0.0948
C 0.3333 0.6667 0.5937